SrTa2Fe | PBEsol | optimized geometry

```
SrTa2Fe
1.0
3.046 0.000 0.000
0.000 4.782 0.000
0.000 0.000 4.782
Fe Sr Ta
1 1 2
Cartesian
1.523 2.391 2.391
1.523 0.000 0.000
0.000 0.000 2.391
0.000 2.391 0.000
```

Formation enthalpy at 0 K ... 1.271 eV/atom

---

SrTa4Fe | PBEsol | optimized geometry

```
SrTa4Fe
1.0
-2.915 -2.759 -3.823
2.336 -1.313 -4.853
1.230 -5.282 -1.145
Fe Sr Ta
1 1 4
Cartesian
0.488 -7.016 -7.366
0.000 0.000 0.000
-1.222 -4.888 -5.598
0.244 -3.501 -3.676
0.862 -6.157 -4.252
1.418 -4.161 -6.116
```

Formation enthalpy at 0 K ... 0.902 eV/atom

---

SrFe2Tc | PBEsol | optimized geometry

```
SrFe2Tc
1.0
-3.925 -0.997 -0.479
-1.723 -2.744 2.475
-3.315 2.746 4.096
Fe Sr Tc
2 1 1
Cartesian
-2.501 0.476 2.146
-6.462 -1.471 3.947
0.000 0.000 0.000
-4.482 -0.498 3.046
```

Formation enthalpy at 0 K ... 0.455 eV/atom

---

SrFeTe2 | PBEsol | optimized geometry

```
SrFeTe2
1.0
4.074 0.000 0.000
2.037 3.528 0.000
2.037 1.176 6.738
Sr Te Fe
1 2 1
Cartesian
0.000 0.000 0.000
2.037 1.176 2.198
6.111 3.528 4.540
4.074 2.352 3.369
```

Raw formation energy ... -2.16 eV/f.u.

---

SrFeTe2 | PBEsol | optimized geometry

```
SrFeTe2
1.0
-0.943 4.437 0.579
-4.374 -0.886 -0.329
1.905 -0.401 6.183
Fe Sr Te
1 1 2
Cartesian
-0.104 -0.311 2.219
-2.692 1.676 0.833
-2.458 -1.254 5.611
-0.627 1.753 3.605
```

Raw formation energy ... -1.88 eV/f.u.

---

SrFe2Te | PBEsol | optimized geometry

```
SrFe2Te
1.0
4.316 0.000 0.000
0.000 4.316 0.000
0.000 0.000 4.294
Fe Sr Te
2 1 1
Cartesian
0.000 2.158 0.000
2.158 0.000 0.000
2.158 2.158 2.147
0.000 0.000 2.147
```

Raw formation energy ... 1.96 eV/f.u.

---

SrFe2Te | PBEsol | optimized geometry

```
SrFe2Te
1.0
3.353 0.000 0.000
0.000 3.353 0.000
0.000 0.000 7.219
Fe Sr Te
2 1 1
Cartesian
0.000 0.000 0.302
1.677 1.677 1.206
0.000 0.000 3.429
1.677 1.677 5.892
```

Raw formation energy ... 0.81 eV/f.u.

---

Sr2FeTe | PBEsol | optimized geometry

```
Sr2FeTe
1.0
4.405 0.000 0.000
0.000 4.480 0.000
0.000 -2.240 5.987
Sr Te Fe
2 1 1
Cartesian
0.000 2.240 5.728
2.203 0.000 3.202
2.203 2.240 0.742
0.000 2.240 2.303
```

Raw formation energy ... -1.22 eV/f.u.

---

Sr2FeTe | PBEsol | optimized geometry

```
Sr2FeTe
1.0
4.542 0.000 0.000
0.000 4.542 0.000
-2.271 -2.271 5.667
Fe Sr Te
1 2 1
Cartesian
0.000 2.271 2.834
0.000 0.000 0.000
2.271 0.000 2.834
2.271 2.271 0.000
```

Raw formation energy ... -0.20 eV/f.u.

---

SrFeTe2 | PBEsol | optimized geometry

```
SrFeTe2
1.0
-0.871 0.251 -6.558
1.023 -6.190 2.114
-5.476 2.314 2.914
Sr Te Fe
2 4 2
Cartesian
0.000 0.000 0.000
-2.189 -3.423 1.403
-2.095 -4.246 -2.139
-3.191 -0.864 -0.502
-4.588 -1.212 3.012
-0.774 -0.929 -3.431
0.076 -2.970 -2.222
-3.136 -0.203 -2.933
```

Raw formation energy ... -2.29 eV/f.u.

---

Sr2FeTe | PBEsol | optimized geometry

```
Sr2FeTe
1.0
5.368 0.000 0.000
2.684 4.648 0.000
2.684 1.549 4.383
Fe Sr Te
1 2 1
Cartesian
5.368 3.099 2.191
0.000 0.000 0.000
8.051 4.648 3.287
2.684 1.549 1.096
```

Raw formation energy ... 1.01 eV/f.u.

---

SrFe2Te | PBEsol | optimized geometry

```
SrFe2Te
1.0
-3.965 -0.880 -0.185
-1.301 -3.035 -2.372
-1.139 -5.006 3.545
Fe Sr Te
2 1 1
Cartesian
-1.175 -4.793 3.292
-4.704 -7.294 1.458
-3.179 -4.600 0.659
-1.678 -1.769 -0.301
```

Raw formation energy ... -0.48 eV/f.u.

---

Repeat the eighth record exactly.
Sr2FeTe | PBEsol | optimized geometry

```
Sr2FeTe
1.0
4.405 0.000 0.000
0.000 4.480 0.000
0.000 -2.240 5.987
Sr Te Fe
2 1 1
Cartesian
0.000 2.240 5.728
2.203 0.000 3.202
2.203 2.240 0.742
0.000 2.240 2.303
```

Raw formation energy ... -1.22 eV/f.u.

---

Please write out number 7 again, unchanged.
SrFe2Te | PBEsol | optimized geometry

```
SrFe2Te
1.0
3.353 0.000 0.000
0.000 3.353 0.000
0.000 0.000 7.219
Fe Sr Te
2 1 1
Cartesian
0.000 0.000 0.302
1.677 1.677 1.206
0.000 0.000 3.429
1.677 1.677 5.892
```

Raw formation energy ... 0.81 eV/f.u.